No. 1
A plane-wave DFT calculation with GGA-PBE was carried out for an optimized crystal structure of Mg2TlRu.

```
Mg2TlRu
1.0
4.300 -0.003 0.024
0.001 4.300 0.024
-0.022 -0.022 3.936
Mg Ru Tl
2 1 1
Cartesian
0.000 0.000 0.000
2.150 2.149 0.024
2.139 -0.012 1.980
-0.010 2.139 1.980
```

Properties
E above lowest polymorph, kJ per mole of atoms: 5.4

---

No. 2
A plane-wave DFT calculation with GGA-PBE was carried out for an optimized crystal structure of Be2SbI.

```
Be2SbI
1.0
-5.323 1.574 -1.582
0.487 -3.176 -4.795
-4.612 -5.389 -0.373
I Sb Be
2 2 4
Cartesian
0.000 0.000 0.000
-6.177 -2.308 -2.572
-2.418 -0.801 -3.189
-3.272 -4.683 -4.178
-4.245 -0.812 -1.630
-1.688 -3.084 -3.340
-5.257 -4.747 -2.828
-7.707 -5.340 -5.703
```

Properties
E above lowest polymorph, kJ per mole of atoms: 0.0
Formation energy (no corrections), eV/atom: 0.0574

---

No. 3
A plane-wave DFT calculation with GGA-PBE was carried out for an optimized crystal structure of Be2Cd3Au5.

```
Be2Cd3Au5
1.0
-1.598 0.600 -2.593
-1.094 -10.462 -1.748
-9.077 0.014 5.596
Be Cd Au
4 6 10
Cartesian
-5.813 -1.302 3.280
-4.358 -9.145 0.568
-1.547 -3.918 0.046
-8.623 -6.529 3.802
-7.929 -3.476 4.081
-2.241 -6.971 -0.233
-3.209 -1.738 1.575
-6.962 -8.709 2.274
0.000 0.000 0.000
-5.085 -5.224 1.924
-1.854 -1.888 -1.153
-9.915 -7.959 2.408
-3.693 -9.207 -1.714
-8.075 -0.640 2.969
-6.481 -2.733 1.503
-5.287 -7.115 -0.247
-7.883 -5.872 1.640
-3.885 -3.975 -0.385
-5.337 0.307 1.502
-1.346 -4.931 -2.170
```

Properties
Total DFT energy (no corrections), eV/atom: -2.76